Computed, not measured: B3C after structural relaxation at the PBE level of DFT.

Values from the calculation:
E above lowest polymorph: 9.8 kJ per mole of atoms
size of the total moment: 0.0 μB/cell
space-group type: No. 6
Fermi-level density of states: 0.103 states/eV per atom
calculated total energy: -6.9716 eV/atom
formation enthalpy at 0 K: 1.370 eV per formula unit

a = 4.776 Å, b = 2.760 Å, c = 7.589 Å
α = 90.00°, β = 97.80°, γ = 90.00°
Sites, in units of the cell vectors:
B 0.000 0.000 0.000
B 0.006 0.500 0.646
B 0.159 0.500 0.864
B 0.307 0.500 0.543
B 0.388 0.000 0.267
B 0.435 0.500 0.013
B 0.745 0.000 0.594
B 0.876 0.500 0.219
B 0.945 0.000 0.788
C 0.040 0.000 0.203
C 0.444 0.000 0.502
C 0.548 0.500 0.202